1.
Below is a relaxed ZnMoPb crystal, with properties calculated at the PBE level.

Results
**ΔE to the lowest computed polymorph**: 0.0 meV/atom
**ΔE_f**: 556 meV/atom

```
ZnMoPb
1.0
-1.5409 1.8922 4.9265
1.5409 -1.8922 4.9265
1.5409 1.8922 -4.9265
Zn Mo Pb
1 1 1
direct
0.0000 0.0000 0.0000 Zn
0.6180 0.6180 0.0000 Mo
0.3059 0.3059 0.0000 Pb
```

=====

2.
Below is a relaxed In2GaPb3 crystal, with properties calculated at the PBE level.

Results
**ΔE_f**: 40 meV/atom

```
In2GaPb3
1.0
9.5401 -1.7679 0.0000
9.5401 1.7679 0.0000
-5.5982 0.0000 10.0667
In Ga Pb
4 2 6
direct
0.0642 0.0642 0.4422 In
0.2750 0.2750 0.4038 In
0.7250 0.7250 0.5962 In
0.9358 0.9358 0.5578 In
0.4167 0.4167 0.3040 Ga
0.5833 0.5833 0.6960 Ga
0.0769 0.0769 0.9352 Pb
0.2401 0.2401 0.8640 Pb
0.3977 0.3977 0.7804 Pb
0.6023 0.6023 0.2196 Pb
0.7599 0.7599 0.1360 Pb
0.9231 0.9231 0.0648 Pb
```

=====

3.
Below is a relaxed CsRbHg3 crystal, with properties calculated at the PBE level.

Results
**ΔE to the lowest computed polymorph**: 264.3 meV/atom
**ΔE_f**: 15 meV/atom

```
CsRbHg3
1.0
6.8295 0.0000 0.0000
0.0000 6.8295 0.0000
0.0000 0.0000 6.8295
Cs Rb Hg
1 1 3
direct
0.0000 0.0000 0.0000 Cs
0.5000 0.5000 0.5000 Rb
0.0000 0.0000 0.5000 Hg
0.0000 0.5000 0.0000 Hg
0.5000 0.0000 0.0000 Hg
```

=====

4.
Below is a relaxed La3RhSeBr crystal, with properties calculated at the PBE level.

Results
**Raw formation energy**: -1201 meV/atom

```
La3RhSeBr
1.0
8.1436 0.0000 0.0000
0.0000 3.9304 0.0000
-3.1273 0.0000 10.7208
La Rh Se Br
6 2 2 2
direct
0.0247 0.2500 0.2802 La
0.2398 0.2500 0.0591 La
0.3454 0.7500 0.5822 La
0.6546 0.2500 0.4178 La
0.7602 0.7500 0.9409 La
0.9753 0.7500 0.7198 La
0.0970 0.2500 0.5710 Rh
0.9030 0.7500 0.4290 Rh
0.3357 0.7500 0.2892 Se
0.6643 0.2500 0.7108 Se
0.3515 0.7500 0.8793 Br
0.6485 0.2500 0.1207 Br
```

=====

| no. | VASP energy (eV per atom) |
| --- | --- |
| 1 | -4.71 |
| 2 | -3.23 |
| 3 | -0.53 |
| 4 | -5.75 |